1.
VASP calculation (GGA-PBE) on a relaxed structure of Na3Cr2GaSe6.

Cell: 6.574 6.574 7.225 Å, 98.75 98.75 119.99°
Site moments in Bohr magnetons follow the coordinates.
Atoms (fractional coordinates):
Na  0.500  0.500  0.500  0.00
Na  0.165  0.835  0.500  0.00
Na  0.835  0.165  0.500  0.00
Ga  0.000  0.000  0.000  0.07
Cr  0.333  0.667  0.000  2.98
Cr  0.667  0.333  0.000  2.98
Se  0.273  0.273  0.798  -0.07
Se  0.933  0.592  0.799  -0.07
Se  0.727  0.727  0.202  -0.07
Se  0.592  0.933  0.799  -0.07
Se  0.408  0.067  0.201  -0.07
Se  0.067  0.408  0.201  -0.07

**Total magnetic moment**: 6.0 μB per cell
**Formation energy from raw total energies**: -913 kJ/mol of formula units

2.
VASP calculation (GGA-PBE) on a relaxed structure of Te3C.

Cell: 8.123 8.123 6.904 Å, 90.00 90.00 120.00°
Atoms (fractional coordinates):
Te  0.737  0.868  0.750
Te  0.263  0.132  0.250
Te  0.000  0.500  0.500
Te  0.500  0.500  0.000
Te  0.132  0.868  0.750
Te  0.868  0.132  0.250
Te  0.500  0.500  0.500
Te  0.000  0.500  0.000
Te  0.500  0.000  0.500
Te  0.500  0.000  0.000
Te  0.868  0.737  0.250
Te  0.132  0.263  0.750
C  0.000  0.000  0.500
C  0.667  0.333  0.750
C  0.000  0.000  0.000
C  0.333  0.667  0.250

**Polymorph energy (0 for the lowest one)**: 47.01 kJ/mol of atoms
**Total magnetic moment**: 0.0 μB per cell
**Formation energy from raw total energies**: 499 kJ/mol of formula units

3.
VASP calculation (GGA-PBE) on a relaxed structure of Ce4BiPbN.

Cell: 6.853 6.850 8.984 Å, 90.00 112.42 90.00°
Site moments in Bohr magnetons follow the coordinates.
Atoms (fractional coordinates):
N  0.249  0.750  0.498  -0.05
N  0.751  0.250  0.502  -0.05
Ce  0.595  0.250  0.191  0.94
Ce  0.000  0.500  0.500  0.63
Ce  0.094  0.750  0.187  0.91
Ce  0.405  0.750  0.809  0.94
Ce  0.500  0.500  0.500  0.63
Ce  0.906  0.250  0.813  0.91
Ce  0.500  0.000  0.500  0.63
Ce  0.000  0.000  0.500  0.63
Pb  0.106  0.250  0.211  -0.03
Pb  0.894  0.750  0.789  -0.03
Bi  0.606  0.750  0.211  -0.03
Bi  0.394  0.250  0.789  -0.03

**Total magnetic moment**: 7.7 μB per cell
**Formation energy from raw total energies**: -531 kJ/mol of formula units

4.
VASP calculation (GGA-PBE) on a relaxed structure of ZrCd2Si.

Cell: 5.566 5.566 3.076 Å, 90.00 90.00 119.71°
Atoms (fractional coordinates):
Si  0.500  0.000  0.500
Zr  0.000  0.500  0.500
Cd  0.500  0.500  0.000
Cd  0.000  0.000  0.000

**Total magnetic moment**: 0.0 μB per cell
**Formation energy from raw total energies**: 9 kJ/mol of formula units

5.
VASP calculation (GGA-PBE) on a relaxed structure of LiGa3Te5.

Cell: 10.402 10.402 10.402 Å, 89.88 89.88 89.88°
Atoms (fractional coordinates):
Li  0.278  0.747  0.992
Li  0.992  0.278  0.747
Li  0.747  0.992  0.278
Li  0.432  0.432  0.432
Ga  0.841  0.570  0.873
Ga  0.165  0.753  0.340
Ga  0.340  0.165  0.753
Ga  0.873  0.841  0.570
Ga  0.429  0.156  0.124
Ga  0.753  0.340  0.165
Ga  0.249  0.833  0.663
Ga  0.124  0.429  0.156
Ga  0.833  0.663  0.249
Ga  0.570  0.873  0.841
Ga  0.663  0.249  0.833
Ga  0.156  0.124  0.429
Te  0.914  0.084  0.502
Te  0.069  0.673  0.568
Te  0.084  0.502  0.914
Te  0.317  0.578  0.234
Te  0.759  0.426  0.681
Te  0.434  0.327  0.933
Te  0.174  0.174  0.174
Te  0.166  0.001  0.834
Te  0.834  0.166  0.001
Te  0.673  0.568  0.069
Te  0.933  0.434  0.327
Te  0.681  0.759  0.426
Te  0.327  0.933  0.434
Te  0.234  0.317  0.578
Te  0.826  0.826  0.826
Te  0.568  0.069  0.673
Te  0.426  0.681  0.759
Te  0.502  0.914  0.084
Te  0.578  0.234  0.317
Te  0.001  0.834  0.166

**Total magnetic moment**: 0.0 μB per cell
**Formation energy from raw total energies**: -393 kJ/mol of formula units

6.
VASP calculation (GGA-PBE) on a relaxed structure of CdCu2Tc.

Cell: 2.774 2.774 7.589 Å, 90.00 90.00 90.03°
Atoms (fractional coordinates):
Cd  0.500  0.500  0.764
Tc  0.000  0.000  0.469
Cu  0.000  0.000  0.029
Cu  0.500  0.500  0.238

**Total magnetic moment**: 0.0 μB per cell
**Uncorrected energy**: -4.609 eV per atom